4
Lattice="5.313 0.000 0.000 2.657 4.601 0.000 2.657 1.534 4.338" Properties=species:S:1:pos:R:3 comment="YThTlZn, relaxed, DFT PBE" e_form_ev_per_atom=-0.214 pbc="T T T"
Y 7.970 4.601 3.254
Zn 0.000 0.000 0.000
Th 2.657 1.534 1.085
Tl 5.313 3.068 2.169

=====

8
Lattice="3.374 0.000 -0.718 -0.598 6.072 -2.809 1.339 -4.266 14.582" Properties=species:S:1:pos:R:3 comment="LaTb4Ho3, relaxed, DFT PBE" e_form_ev_per_atom=0.164 relative_energy_mev_per_atom=146 pbc="T T T"
Tb 1.734 2.149 8.153
Ho 1.322 -0.715 6.214
Tb 2.071 2.792 1.448
La 1.687 0.000 -0.359
Tb 2.044 -0.986 9.607
Tb 2.381 -0.343 2.902
Ho 2.793 2.521 4.841
Ho -0.299 3.036 -1.405

=====

4
Lattice="-1.984 -2.155 1.237 2.412 -0.112 3.675 -2.447 3.232 1.705" Properties=species:S:1:pos:R:3 comment="Si2TcSe, relaxed, DFT PBE" formation_energy_uncorrected_mev_per_atom=469 pbc="T T T"
Si -0.017 1.560 2.690
Tc 0.214 -1.133 2.456
Si 0.000 0.000 0.000
Se -2.216 0.539 1.471

=====

5
Lattice="-1.112 -4.298 -1.605 -1.147 -1.345 4.398 -4.444 1.421 -0.725" Properties=species:S:1:pos:R:3 comment="YNiGe2Ir, relaxed, DFT PBE" e_form_ev_per_atom=0.081 relative_energy_mev_per_atom=761 pbc="T T T"
Ge -0.556 -2.149 -0.803
Ge -2.222 0.710 -0.362
Ir 0.000 0.000 0.000
Ni -0.574 -0.673 2.199
Y -3.352 -2.112 1.034

=====

5
Lattice="-4.463 0.132 2.877 -0.171 -5.309 -0.023 2.875 -0.112 4.466" Properties=species:S:1:pos:R:3 comment="CaY2InP, relaxed, DFT PBE" e_form_ev_per_atom=-0.697 relative_energy_mev_per_atom=0 pbc="T T T"
In -0.880 -2.644 3.660
Y -0.086 -2.654 -0.011
Ca 1.437 -0.056 2.233
Y -2.232 0.066 1.438
P 0.000 0.000 0.000

=====

6
Lattice="-2.426 1.969 -0.029 -1.911 -2.333 1.476 3.535 4.470 7.800" Properties=species:S:1:pos:R:3 comment="ScHgB, relaxed, DFT PBE" e_form_ev_per_atom=-0.459 relative_energy_mev_per_atom=53 pbc="T T T"
Hg 1.151 2.126 4.311
Sc -1.604 1.193 3.088
Hg -0.394 2.743 7.084
B 0.259 0.984 1.353
B -3.037 -0.584 2.241
Sc 2.361 3.676 8.306

=====

10
Lattice="-8.279 1.850 1.321 -2.065 -4.040 -7.289 -5.841 -6.269 0.073" Properties=species:S:1:pos:R:3 comment="Cs2AlSnI6, relaxed, DFT PBE" formation_energy_uncorrected_mev_per_atom=-900 pbc="T T T"
I -5.492 -3.566 -1.524
I -3.685 -2.505 -5.046
I -7.649 -1.619 -4.413
Cs -9.646 -2.757 -0.795
Sn 0.000 0.000 0.000
I -2.696 -0.571 -1.555
Cs -6.539 -5.702 -5.100
I -10.694 -4.894 -4.371
Al -5.172 -1.095 -2.984
I -6.660 0.315 -0.923

=====

4
Lattice="5.934 0.001 0.000 2.583 5.342 0.000 -4.258 -2.671 3.152" Properties=species:S:1:pos:R:3 comment="Y2TaTe, relaxed, DFT PBE" formation_energy_uncorrected_mev_per_atom=-13 pbc="T T T"
Y 1.292 2.671 1.576
Te 2.967 0.000 1.576
Y 0.000 0.000 0.000
Ta 4.258 2.671 0.000

=====

8
Lattice="-3.843 0.549 -1.470 -2.711 -2.792 6.045 -1.081 5.259 4.788" Properties=species:S:1:pos:R:3 comment="AcNdHo2P4, relaxed, DFT PBE" e_form_ev_per_atom=-1.515 pbc="T T T"
P -4.267 -0.543 5.092
P -4.750 1.291 1.178
P -2.885 1.725 8.185
Ho -1.081 5.259 4.788
Ac -4.358 4.137 7.076
P -3.367 3.558 4.271
Ho -2.462 2.904 1.659
Nd -1.896 1.233 5.417

=====

6
Lattice="-2.632 1.918 -2.495 -3.498 -4.627 0.133 0.148 3.701 6.063" Properties=species:S:1:pos:R:3 comment="Ce2PmP3, relaxed, DFT PBE" e_form_ev_per_atom=-1.524 pbc="T T T"
P -2.666 0.333 4.756
P -3.317 0.658 -1.054
Ce -0.896 2.630 4.655
Ce -5.087 -1.639 -0.953
Pm -2.991 0.496 1.851
P -1.242 2.810 1.784